A relaxed structure of NiAs2P, computed with PBE.

Cell lengths 2.9309, 4.5075, 4.7134 Å; angles 90.00, 90.00, 90.00 degrees
With the nearest neighbours (Å) after each atom.
Fractional coordinates of all 4 atoms:
As (0.5000, 0.0000, 0.5000)  4 P 2.69, 6 As 2.78-2.93
As (0.0000, 0.0000, 0.0000)  4 Ni 2.69, 6 As 2.78-2.93
P (0.0000, 0.5000, 0.5000)  4 As 2.69, 4 Ni 2.78, 2 P 2.93
Ni (0.5000, 0.5000, 0.0000)  4 As 2.69, 4 P 2.78, 2 Ni 2.93

## Properties
The value obtained for the magnetic moment is 0.00 μB/f.u. As for the formation energy: 0.433 eV/atom. The calculated density is 6.387 g/cm³. Its uncorrected energy is -4.689 eV per atom. The density of states at the Fermi level comes out at 2.8 states/eV/f.u.